# Cd2TeAu | Alexandria via LeMat-Bulk | PBE | relaxed
# V: 309 Å³/cell
# DOS(E_F): 1.514 states/eV/f.u.
# raw formation energy: -42.0 meV per atom
data_Cd2TeAu
_space_group_name_H-M_alt 'R 3 m'
_space_group_IT_number 160
_space_group_name_Hall 'R 3 -2"'
_cell_length_a 4.3338
_cell_length_b 4.3338
_cell_length_c 19.0254
_cell_angle_alpha 90.00
_cell_angle_beta 90.00
_cell_angle_gamma 120.00
loop_
_atom_site_label
_atom_site_type_symbol
_atom_site_fract_x
_atom_site_fract_y
_atom_site_fract_z
Cd1 Cd 0.0000 0.0000 0.0000
Cd2 Cd 0.0000 0.0000 0.2393
Te1 Te 0.0000 0.0000 0.4813
Au1 Au 0.0000 0.0000 0.7358